[1]
SmAuSO: relaxed, PBE.

Computed properties:
- Offset from the most stable computed form: 125.3 meV per atom
- Total magnetization: 0.0 μB/f.u.
- Volume: 290.1 Å³/cell

```
data_SmAuSO
_symmetry_space_group_name_H-M 'P b c m'
_symmetry_Int_Tables_number 57
_symmetry_space_group_name_Hall '-P 2c 2b'
_cell_length_a 9.2330
_cell_length_b 5.5414
_cell_length_c 5.6701
_cell_angle_alpha 90.00
_cell_angle_beta 90.00
_cell_angle_gamma 90.00
loop_
_atom_site_label
_atom_site_type_symbol
_atom_site_fract_x
_atom_site_fract_y
_atom_site_fract_z
Sm1 Sm 0.1271 0.0058 0.2500
Au1 Au 0.4450 0.2500 0.0000
S1 S 0.2912 0.5223 0.2500
O1 O 0.0027 0.7500 0.0000
```

[2]
SmAuSO: relaxed, PBE.

Computed properties:
- Offset from the most stable computed form: 367.0 meV per atom
- Total magnetization: 0.0 μB/f.u.
- Volume: 288.3 Å³/cell

```
data_SmAuSO
_symmetry_space_group_name_H-M 'P c a 21'
_symmetry_Int_Tables_number 29
_symmetry_space_group_name_Hall 'P 2c -2ac'
_cell_length_a 7.6176
_cell_length_b 6.6016
_cell_length_c 5.7322
_cell_angle_alpha 90.00
_cell_angle_beta 90.00
_cell_angle_gamma 90.00
loop_
_atom_site_label
_atom_site_type_symbol
_atom_site_fract_x
_atom_site_fract_y
_atom_site_fract_z
Sm1 Sm 0.0957 0.1761 0.0000
Au1 Au 0.1807 0.7257 0.1138
S1 S 0.0918 0.4130 0.5125
O1 O 0.1528 0.9876 0.6622
```

[3]
SmAuSO: relaxed, PBE.

Computed properties:
- Offset from the most stable computed form: 481.8 meV per atom
- Total magnetization: 0.0 μB/f.u.
- Volume: 164.9 Å³/cell

```
data_SmAuSO
_symmetry_space_group_name_H-M 'P m c 21'
_symmetry_Int_Tables_number 26
_symmetry_space_group_name_Hall 'P 2c -2'
_cell_length_a 4.1919
_cell_length_b 5.9865
_cell_length_c 6.5692
_cell_angle_alpha 90.00
_cell_angle_beta 90.00
_cell_angle_gamma 90.00
loop_
_atom_site_label
_atom_site_type_symbol
_atom_site_fract_x
_atom_site_fract_y
_atom_site_fract_z
Sm1 Sm 0.0000 0.2218 0.0000
Au1 Au 0.5000 0.2693 0.6294
S1 S 0.5000 0.3541 0.2551
O1 O 0.0000 0.0744 0.6894
```

[4]
SmAuSO: relaxed, PBE.

Computed properties:
- Offset from the most stable computed form: 140.8 meV per atom
- Total magnetization: 0.0 μB/f.u.
- Volume: 141.8 Å³/cell

```
data_SmAuSO
_symmetry_space_group_name_H-M 'P 4/n m m'
_symmetry_Int_Tables_number 129
_cell_length_a 3.9855
_cell_length_b 3.9855
_cell_length_c 8.9252
_cell_angle_alpha 90.00
_cell_angle_beta 90.00
_cell_angle_gamma 90.00
loop_
_symmetry_equiv_pos_as_xyz
'x,y,z'
'-x,-y,-z'
'-y+1/2,x,z'
'y+1/2,-x,-z'
'-x+1/2,-y+1/2,z'
'x+1/2,y+1/2,-z'
'y,-x+1/2,z'
'-y,x+1/2,-z'
'x+1/2,-y,-z'
'-x+1/2,y,z'
'-y,-x,-z'
'y,x,z'
'-x,y+1/2,-z'
'x,-y+1/2,z'
'y+1/2,x+1/2,-z'
'-y+1/2,-x+1/2,z'
loop_
_atom_site_label
_atom_site_type_symbol
_atom_site_fract_x
_atom_site_fract_y
_atom_site_fract_z
Sm1 Sm 0.2500 0.2500 0.1315
Au1 Au 0.2500 0.7500 0.5000
S1 S 0.2500 0.2500 0.7102
O1 O 0.2500 0.7500 0.0000
```

[5]
SmAuSO: relaxed, PBE.

Computed properties:
- Offset from the most stable computed form: 5.5 meV per atom
- Total magnetization: 0.0 μB/f.u.
- Volume: 296.2 Å³/cell

```
data_SmAuSO
_symmetry_space_group_name_H-M 'P b a 2'
_symmetry_Int_Tables_number 32
_symmetry_space_group_name_Hall 'P 2 -2ab'
_cell_length_a 5.6990
_cell_length_b 5.7111
_cell_length_c 9.0999
_cell_angle_alpha 90.00
_cell_angle_beta 90.00
_cell_angle_gamma 90.00
loop_
_atom_site_label
_atom_site_type_symbol
_atom_site_fract_x
_atom_site_fract_y
_atom_site_fract_z
Sm1 Sm 0.0000 0.0000 0.0000
Sm2 Sm 0.0000 0.5000 0.2531
Au1 Au 0.2505 0.0034 0.6261
S1 S 0.0000 0.0000 0.4130
S2 S 0.0000 0.5000 0.8394
O1 O 0.2504 0.2502 0.1263
```

[6]
SmAuSO: relaxed, PBE.

Computed properties:
- Offset from the most stable computed form: 139.9 meV per atom
- Total magnetization: 0.0 μB/f.u.
- Volume: 142.3 Å³/cell

```
data_SmAuSO
_symmetry_space_group_name_H-M 'P 4 m m'
_symmetry_Int_Tables_number 99
_symmetry_space_group_name_Hall 'P 4 -2'
_cell_length_a 3.9711
_cell_length_b 3.9711
_cell_length_c 9.0215
_cell_angle_alpha 90.00
_cell_angle_beta 90.00
_cell_angle_gamma 90.00
loop_
_atom_site_label
_atom_site_type_symbol
_atom_site_fract_x
_atom_site_fract_y
_atom_site_fract_z
Sm1 Sm 0.0000 0.0000 0.0000
Sm2 Sm 0.5000 0.5000 0.2622
Au1 Au 0.0000 0.5000 0.6317
S1 S 0.0000 0.0000 0.4211
S2 S 0.5000 0.5000 0.8418
O1 O 0.0000 0.5000 0.1311
```

[7]
SmAuSO: relaxed, PBE.

Computed properties:
- Offset from the most stable computed form: 5.7 meV per atom
- Total magnetization: 0.0 μB/f.u.
- Volume: 295.5 Å³/cell

```
data_SmAuSO
_symmetry_space_group_name_H-M 'A e m 2'
_symmetry_Int_Tables_number 39
_symmetry_space_group_name_Hall 'A 2 -2b'
_cell_length_a 9.0677
_cell_length_b 5.7061
_cell_length_c 5.7106
_cell_angle_alpha 90.00
_cell_angle_beta 90.00
_cell_angle_gamma 90.00
loop_
_atom_site_label
_atom_site_type_symbol
_atom_site_fract_x
_atom_site_fract_y
_atom_site_fract_z
Sm1 Sm 0.1270 0.2500 0.0000
Au1 Au 0.5000 0.0000 0.0009
S1 S 0.2867 0.2500 0.5008
O1 O 0.0000 0.0000 0.2500
```

[8]
SrAuS2O6: relaxed, PBE.

Computed properties:
- Total DFT energy (no corrections): -226.47 eV per cell
- Volume: 618.8 Å³/cell

```
data_SrAuS2O6
_symmetry_space_group_name_H-M 'C 1 2/c 1'
_symmetry_Int_Tables_number 15
_symmetry_space_group_name_Hall '-C 2yc'
_cell_length_a 7.8775
_cell_length_b 5.1878
_cell_length_c 15.1434
_cell_angle_alpha 90.00
_cell_angle_beta 90.62
_cell_angle_gamma 90.00
loop_
_atom_site_label
_atom_site_type_symbol
_atom_site_fract_x
_atom_site_fract_y
_atom_site_fract_z
Sr1 Sr 0.0000 0.0604 0.2500
Au1 Au 0.0000 0.0000 0.0000
S1 S 0.1312 0.4971 0.1054
O1 O 0.0261 0.3106 0.4030
O2 O 0.0410 0.2348 0.6163
O3 O 0.1980 0.4423 0.1980
```

[9]
Sb2Au2O5: relaxed, PBE.

Computed properties:
- Offset from the most stable computed form: 379.9 meV per atom
- Volume: 123.7 Å³/cell

```
data_Sb2Au2O5
_symmetry_space_group_name_H-M 'P 4/m m m'
_symmetry_Int_Tables_number 123
_symmetry_space_group_name_Hall '-P 4 2'
_cell_length_a 4.2343
_cell_length_b 4.2343
_cell_length_c 6.9011
_cell_angle_alpha 90.00
_cell_angle_beta 90.00
_cell_angle_gamma 90.00
loop_
_atom_site_label
_atom_site_type_symbol
_atom_site_fract_x
_atom_site_fract_y
_atom_site_fract_z
Sb1 Sb 0.0000 0.0000 0.0000
Sb2 Sb 0.0000 0.0000 0.5000
Au1 Au 0.5000 0.5000 0.1935
O1 O 0.0000 0.5000 0.2176
O2 O 0.5000 0.5000 0.5000
```

[10]
SbAuO3: relaxed, PBE.

Computed properties:
- Total DFT energy (no corrections): -151.93 eV per cell
- Volume: 371.2 Å³/cell

```
data_SbAuO3
_symmetry_space_group_name_H-M 'R -3 c'
_symmetry_Int_Tables_number 167
_symmetry_space_group_name_Hall '-R 3 2"c'
_cell_length_a 5.5740
_cell_length_b 5.5740
_cell_length_c 13.7960
_cell_angle_alpha 90.00
_cell_angle_beta 90.00
_cell_angle_gamma 120.00
loop_
_atom_site_label
_atom_site_type_symbol
_atom_site_fract_x
_atom_site_fract_y
_atom_site_fract_z
Sb1 Sb 0.0000 0.0000 0.0000
Au1 Au 0.0000 0.0000 0.2500
O1 O 0.0000 0.4062 0.2500
```

[11]
SbAuO4: relaxed, PBE.

Computed properties:
- Total DFT energy (no corrections): -121.05 eV per cell
- Volume: 305.4 Å³/cell

```
data_SbAuO4
_symmetry_space_group_name_H-M 'C 1 2/c 1'
_symmetry_Int_Tables_number 15
_symmetry_space_group_name_Hall '-C 2yc'
_cell_length_a 11.7647
_cell_length_b 4.8682
_cell_length_c 5.4723
_cell_angle_alpha 90.00
_cell_angle_beta 102.98
_cell_angle_gamma 90.00
loop_
_atom_site_label
_atom_site_type_symbol
_atom_site_fract_x
_atom_site_fract_y
_atom_site_fract_z
Sb1 Sb 0.2500 0.2500 0.0000
Au1 Au 0.0000 0.2078 0.2500
O1 O 0.0789 0.1690 0.9645
O2 O 0.2009 0.4145 0.6595
```

[12]
SbAuO3: relaxed, PBE.

Computed properties:
- Total DFT energy (no corrections): -101.15 eV per cell
- Volume: 247.9 Å³/cell

```
data_SbAuO3
_symmetry_space_group_name_H-M 'P n m a'
_symmetry_Int_Tables_number 62
_symmetry_space_group_name_Hall '-P 2ac 2n'
_cell_length_a 5.6669
_cell_length_b 7.8344
_cell_length_c 5.5836
_cell_angle_alpha 90.00
_cell_angle_beta 90.00
_cell_angle_gamma 90.00
loop_
_atom_site_label
_atom_site_type_symbol
_atom_site_fract_x
_atom_site_fract_y
_atom_site_fract_z
Sb1 Sb 0.0000 0.0000 0.0000
Au1 Au 0.0007 0.2500 0.4979
O1 O 0.0042 0.7500 0.1075
O2 O 0.2377 0.5583 0.7376
```